Record 1
This record from Alexandria via LeMat-Bulk describes Mg2Cu at its PBEsol-relaxed geometry. The functional is meta-GGA SCAN.

Lattice parameters (Å, degrees): 3.1309 5.5368 6.6001 106.90 90.00 106.42
Last column: nearest neighbours and their distance in Å.
Fractional positions:
1 Cu 0.0283 0.0566 0.0954  2 Cu 2.57, 5 Mg 2.63-2.78
2 Cu 0.6943 0.3886 0.3497  2 Cu 2.57, 5 Mg 2.63-2.78
3 Mg 0.3611 0.7221 0.2219  4 Cu 2.68, 4 Mg 2.90
4 Mg 0.0590 0.1181 0.5288  3 Cu 2.63-2.78, 4 Mg 2.90-2.91
5 Mg 0.3610 0.7220 0.7221  4 Cu 3.00, 10 Mg 3.07-3.30
6 Mg 0.6630 0.3259 0.9155  3 Cu 2.63-2.78, 4 Mg 2.90-2.91

Results
E: -50.34 eV for the cell shown
DOS at the Fermi energy: 1.752 states/eV/cell



Record 2
This record from Alexandria via LeMat-Bulk describes Mg2MnCu at its PBEsol-relaxed geometry. The functional is meta-GGA SCAN.

Lattice parameters (Å, degrees): 3.1647 4.5085 5.2825 115.26 107.43 90.00
Last column: nearest neighbours and their distance in Å.
Fractional positions:
1 Cu 0.2379 0.7379 0.4757  2 Mn 2.48, 6 Mg 2.68-2.76
2 Mg 0.9782 0.9782 0.9563  2 Cu 2.68, 4 Mn 2.79, 2 Mg 2.98
3 Mg 0.7578 0.2578 0.5156  4 Cu 2.76, 4 Mn 2.89-3.07, 4 Mg 2.98-3.00
4 Mn 0.5261 0.5261 0.0523  2 Cu 2.48

Results
E: -43.59 eV for the cell shown
DOS at the Fermi energy: 1.726 states/eV/cell



Record 3
This record from Alexandria via LeMat-Bulk describes MgMnCu2 at its PBEsol-relaxed geometry. The functional is meta-GGA SCAN.

Lattice parameters (Å, degrees): 2.9965 4.2331 5.0030 115.03 107.43 90.00
Last column: nearest neighbours and their distance in Å.
Fractional positions:
1 Cu 0.0084 0.0084 0.0168  2 Cu 2.45, 2 Mn 2.56, 4 Mg 2.60
2 Cu 0.7344 0.2344 0.4688  2 Cu 2.45, 4 Mn 2.61, 2 Mg 2.66
3 Mg 0.4913 0.4913 0.9827  6 Cu 2.60-2.66, 4 Mn 2.79-2.86
4 Mn 0.2658 0.7658 0.5316  6 Cu 2.56-2.61, 4 Mg 2.79-2.86

Results
E: -53.87 eV for the cell shown
DOS at the Fermi energy: 1.786 states/eV/cell



Record 4
This record from Alexandria via LeMat-Bulk describes MgMnCu at its PBEsol-relaxed geometry. The functional is meta-GGA SCAN.

Lattice parameters (Å, degrees): 4.1693 4.1693 4.1693 60.00 60.00 60.00
Last column: nearest neighbours and their distance in Å.
Fractional positions:
1 Cu 0.7500 0.7500 0.7500  4 Mn 2.55, 4 Mg 2.55
2 Mg 0.0000 0.0000 0.0000  4 Cu 2.55
3 Mn 0.5000 0.5000 0.5000  4 Cu 2.55

Results
E: -37.94 eV for the cell shown
DOS at the Fermi energy: 1.746 states/eV/cell



What is the DOS at the Fermi energy in the third record? 1.786 states/eV/cell